[1]
The following is a DFT calculation (GGA-PBE) of Ce3Pr2TmBi6 after structural relaxation.

Unit cell a=7.9443 b=13.7740 c=7.9521 alpha=90.00 beta=109.53 gamma=90.00
Space group C2/m (No. 12)
Inequivalent atoms, fractional coordinates:
Ce (0.0000, 0.0000, 0.0000) (multiplicity 2)
Ce (0.0000, 0.3300, 0.0000) (multiplicity 4)
Pr (0.0000, 0.1654, 0.5000) (multiplicity 4)
Tm (0.0000, 0.5000, 0.5000) (multiplicity 2)
Bi (0.2410, 0.5000, 0.2479) (multiplicity 4)
Bi (0.2452, 0.3371, 0.7482) (multiplicity 8)

Values from the calculation:
The calculation puts the formation enthalpy at 0 K at -976 kJ/mol of formula units. As for the volume: 820 Å³/cell. The total energy is -5.44 eV/atom.

---

[2]
The following is a DFT calculation (GGA-PBE) of Sc4ZnGa3 after structural relaxation.

Unit cell a=3.4773 b=4.2040 c=10.7053 alpha=90.00 beta=90.00 gamma=90.00
Space group Pmm2 (No. 25)
Inequivalent atoms, fractional coordinates:
Sc (0.0000, 0.0000, 0.0000) (multiplicity 1)
Sc (0.0000, 0.5000, 0.3073) (multiplicity 1)
Sc (0.5000, 0.0000, 0.4996) (multiplicity 1)
Sc (0.5000, 0.5000, 0.8079) (multiplicity 1)
Zn (0.5000, 0.0000, 0.2281) (multiplicity 1)
Ga (0.0000, 0.0000, 0.7313) (multiplicity 1)
Ga (0.0000, 0.5000, 0.5767) (multiplicity 1)
Ga (0.5000, 0.5000, 0.0788) (multiplicity 1)

Values from the calculation:
The calculation puts the formation enthalpy at 0 K at -407 kJ/mol of formula units. As for the volume: 156 Å³/cell. The total energy is -4.99 eV/atom.

---

[3]
The following is a DFT calculation (GGA-PBE) of Th2CSe after structural relaxation.

Unit cell a=3.8366 b=3.8366 c=21.5362 alpha=90.00 beta=90.00 gamma=120.00
Space group R3m (No. 160, hexagonal axes)
Inequivalent atoms, fractional coordinates:
Th (0.0000, 0.0000, 0.0000) (multiplicity 3)
Th (0.0000, 0.0000, 0.2009) (multiplicity 3)
C (0.0000, 0.0000, 0.5980) (multiplicity 3)
Se (0.0000, 0.0000, 0.7671) (multiplicity 3)

Values from the calculation:
As for the volume: 275 Å³/cell. The total energy is -7.93 eV/atom. As for the uncorrected formation energy: -1.05 eV/atom.

---

[4]
The following is a DFT calculation (GGA-PBE) of DyAl2Cd after structural relaxation.

Unit cell a=4.4024 b=4.4024 c=4.3164 alpha=90.00 beta=90.00 gamma=90.00
Space group P4/mmm (No. 123)
Inequivalent atoms, fractional coordinates:
Dy (0.0000, 0.0000, 0.0000) (multiplicity 1)
Al (0.0000, 0.5000, 0.5000) (multiplicity 2)
Cd (0.5000, 0.5000, 0.0000) (multiplicity 1)

Values from the calculation:
The calculation puts the formation enthalpy at 0 K at -127 kJ/mol of formula units. As for the volume: 84 Å³/cell. The total energy is -3.58 eV/atom.

---

[5]
The following is a DFT calculation (GGA-PBE) of YMn3S after structural relaxation.

Unit cell a=4.2545 b=4.2545 c=4.2545 alpha=90.00 beta=90.00 gamma=90.00
Space group Pm-3m (No. 221)
Inequivalent atoms, fractional coordinates:
Y (0.0000, 0.0000, 0.0000) (multiplicity 1)
Mn (0.0000, 0.5000, 0.5000) (multiplicity 3)
S (0.5000, 0.5000, 0.5000) (multiplicity 1)

Values from the calculation:
As for the volume: 77 Å³/cell. The total energy is -7.63 eV/atom. As for the uncorrected formation energy: -0.01 eV/atom.

---

[6]
The following is a DFT calculation (GGA-PBE) of KTl2Co after structural relaxation.

Unit cell a=3.7100 b=3.7100 c=8.5050 alpha=90.00 beta=90.00 gamma=90.00
Space group P4mm (No. 99)
Inequivalent atoms, fractional coordinates:
K (0.0000, 0.0000, 0.0000) (multiplicity 1)
Tl (0.0000, 0.0000, 0.6062) (multiplicity 1)
Tl (0.5000, 0.5000, 0.3159) (multiplicity 1)
Co (0.5000, 0.5000, 0.6198) (multiplicity 1)

Values from the calculation:
The calculation puts the formation enthalpy at 0 K at 132 kJ/mol of formula units. As for the volume: 117 Å³/cell. The total energy is -2.89 eV/atom.

---

[7]
The following is a DFT calculation (GGA-PBE) of PtN after structural relaxation.

Unit cell a=4.7797 b=4.7797 c=4.7797 alpha=90.00 beta=90.00 gamma=90.00
Space group F-43m (No. 216)
Inequivalent atoms, fractional coordinates:
Pt (0.0000, 0.0000, 0.0000) (multiplicity 4)
N (0.2500, 0.2500, 0.2500) (multiplicity 4)

Values from the calculation:
As for the volume: 109 Å³/cell. The total energy is -6.07 eV/atom. As for the uncorrected formation energy: 1.11 eV/atom.

---

[8]
The following is a DFT calculation (GGA-PBE) of ZnSbAu14 after structural relaxation.

Unit cell a=9.4116 b=6.0397 c=10.3474 alpha=90.00 beta=90.00 gamma=90.00
Space group Amm2 (No. 38)
Inequivalent atoms, fractional coordinates:
Zn (0.0000, 0.0000, 0.0000) (multiplicity 2)
Sb (0.0000, 0.0000, 0.5022) (multiplicity 2)
Au (0.0000, 0.2457, 0.2509) (multiplicity 4)
Au (0.2430, 0.0000, 0.8352) (multiplicity 4)
Au (0.2486, 0.2437, 0.0828) (multiplicity 8)
Au (0.2557, 0.0000, 0.3323) (multiplicity 4)
Au (0.5000, 0.0000, 0.1645) (multiplicity 2)
Au (0.5000, 0.0000, 0.6654) (multiplicity 2)
Au (0.5000, 0.2462, 0.9152) (multiplicity 4)

Values from the calculation:
As for the volume: 588 Å³/cell. The total energy is -3.20 eV/atom. As for the uncorrected formation energy: 0.01 eV/atom.

---

[9]
The following is a DFT calculation (GGA-PBE) of Cs2LiPdF6 after structural relaxation.

Unit cell a=6.3584 b=6.3584 c=5.3120 alpha=90.00 beta=90.00 gamma=120.00
Space group P-3m1 (No. 164)
Inequivalent atoms, fractional coordinates:
Cs (0.3333, 0.6667, 0.2372) (multiplicity 2)
Li (0.0000, 0.0000, 0.0000) (multiplicity 1)
Pd (0.0000, 0.0000, 0.5000) (multiplicity 1)
F (0.1447, 0.2895, 0.7472) (multiplicity 6)

Values from the calculation:
As for the volume: 186 Å³/cell. The total energy is -4.26 eV/atom. As for the uncorrected formation energy: -2.26 eV/atom.

---

[10]
The following is a DFT calculation (GGA-PBE) of MnBeGePb2 after structural relaxation.

Unit cell a=5.2189 b=5.2189 c=4.1467 alpha=90.00 beta=90.00 gamma=90.00
Space group P4/mmm (No. 123)
Inequivalent atoms, fractional coordinates:
Mn (0.0000, 0.0000, 0.0000) (multiplicity 1)
Be (0.5000, 0.5000, 0.5000) (multiplicity 1)
Ge (0.5000, 0.5000, 0.0000) (multiplicity 1)
Pb (0.0000, 0.5000, 0.5000) (multiplicity 2)

Values from the calculation:
The calculation puts the formation enthalpy at 0 K at 517 kJ/mol of formula units. As for the volume: 113 Å³/cell. The total energy is -3.91 eV/atom.

---

[11]
The following is a DFT calculation (GGA-PBE) of ZrCd2Pt after structural relaxation.

Unit cell a=3.4188 b=3.4955 c=6.8185 alpha=90.00 beta=90.09 gamma=90.00
Space group Pm (No. 6)
Inequivalent atoms, fractional coordinates:
Zr (0.0000, 0.0000, 0.0000) (multiplicity 1)
Cd (0.9996, 0.0000, 0.5451) (multiplicity 1)
Cd (0.5003, 0.5000, 0.2846) (multiplicity 1)
Pt (0.4994, 0.5000, 0.8083) (multiplicity 1)

Values from the calculation:
The calculation puts the formation enthalpy at 0 K at -169 kJ/mol of formula units. As for the volume: 81 Å³/cell. The total energy is -4.54 eV/atom.

---

[12]
The following is a DFT calculation (GGA-PBE) of CaLaP2Pt after structural relaxation.

Unit cell a=4.9101 b=4.9101 c=5.9384 alpha=90.00 beta=90.00 gamma=90.00
Space group P4/mmm (No. 123)
Inequivalent atoms, fractional coordinates:
Ca (0.0000, 0.0000, 0.0000) (multiplicity 1)
La (0.0000, 0.0000, 0.5000) (multiplicity 1)
P (0.0000, 0.5000, 0.0000) (multiplicity 2)
Pt (0.5000, 0.5000, 0.5000) (multiplicity 1)

Values from the calculation:
The calculation puts the formation enthalpy at 0 K at 409 kJ/mol of formula units. As for the volume: 143 Å³/cell. The total energy is -3.91 eV/atom.

---

[13]
The following is a DFT calculation (GGA-PBE) of AgRu2Au after structural relaxation.

Unit cell a=4.8351 b=2.7742 c=4.9968 alpha=90.00 beta=108.90 gamma=90.00
Space group P2/m (No. 10)
Inequivalent atoms, fractional coordinates:
Ag (0.0000, 0.0000, 0.0000) (multiplicity 1)
Ru (0.0000, 0.5000, 0.5000) (multiplicity 1)
Ru (0.5000, 0.0000, 0.5000) (multiplicity 1)
Au (0.5000, 0.5000, 0.0000) (multiplicity 1)

Values from the calculation:
The calculation puts the formation enthalpy at 0 K at 197 kJ/mol of formula units. As for the volume: 63 Å³/cell. The total energy is -5.66 eV/atom.

---

[14]
The following is a DFT calculation (GGA-PBE) of La2TmPdO6 after structural relaxation.

Unit cell a=5.7002 b=5.8381 c=10.1748 alpha=90.00 beta=121.56 gamma=90.00
Space group P2_1/c (No. 14)
Inequivalent atoms, fractional coordinates:
La (0.2227, 0.0511, 0.2438) (multiplicity 4)
Tm (0.5000, 0.0000, 0.0000) (multiplicity 2)
Pd (0.0000, 0.0000, 0.5000) (multiplicity 2)
O (0.1383, 0.2143, 0.9400) (multiplicity 4)
O (0.2111, 0.7053, 0.9287) (multiplicity 4)
O (0.3823, 0.0519, 0.7588) (multiplicity 4)

Values from the calculation:
As for the volume: 289 Å³/cell. The total energy is -7.62 eV/atom. As for the uncorrected formation energy: -2.69 eV/atom.

---

[15]
The following is a DFT calculation (GGA-PBE) of NaTlZnIn after structural relaxation.

Unit cell a=7.2999 b=7.2999 c=7.2999 alpha=90.00 beta=90.00 gamma=90.00
Space group F-43m (No. 216)
Inequivalent atoms, fractional coordinates:
Na (0.0000, 0.0000, 0.0000) (multiplicity 4)
Tl (0.2500, 0.2500, 0.7500) (multiplicity 4)
Zn (0.0000, 0.0000, 0.5000) (multiplicity 4)
In (0.2500, 0.2500, 0.2500) (multiplicity 4)

Values from the calculation:
The calculation puts the formation enthalpy at 0 K at 4 kJ/mol of formula units. As for the volume: 389 Å³/cell. The total energy is -1.91 eV/atom.

---

[16]
The following is a DFT calculation (GGA-PBE) of La3PmIn after structural relaxation.

Unit cell a=8.4746 b=15.2505 c=5.5958 alpha=90.00 beta=90.00 gamma=90.00
Space group Cmmm (No. 65)
Inequivalent atoms, fractional coordinates:
La (0.0000, 0.1575, 0.0000) (multiplicity 4)
La (0.1797, 0.5000, 0.5000) (multiplicity 4)
La (0.2500, 0.2500, 0.5000) (multiplicity 4)
Pm (0.0000, 0.0946, 0.5000) (multiplicity 4)
In (0.0000, 0.3826, 0.0000) (multiplicity 4)

Values from the calculation:
The calculation puts the formation enthalpy at 0 K at 120 kJ/mol of formula units. As for the volume: 723 Å³/cell. The total energy is -4.20 eV/atom.

---

[17]
The following is a DFT calculation (GGA-PBE) of BaSb2Pb2 after structural relaxation.

Unit cell a=8.8230 b=8.8230 c=4.4360 alpha=90.00 beta=90.00 gamma=90.00
Space group P4/mbm (No. 127)
Inequivalent atoms, fractional coordinates:
Ba (0.0000, 0.0000, 0.0000) (multiplicity 2)
Sb (0.1297, 0.3703, 0.0000) (multiplicity 4)
Pb (0.1538, 0.6538, 0.5000) (multiplicity 4)

Values from the calculation:
As for the volume: 345 Å³/cell. The total energy is -3.77 eV/atom. As for the uncorrected formation energy: -0.26 eV/atom.

---

[18]
The following is a DFT calculation (GGA-PBE) of Pr8SbIr2 after structural relaxation.

Unit cell a=8.8540 b=13.6289 c=5.8330 alpha=90.00 beta=102.20 gamma=90.00
Space group C2/m (No. 12)
Inequivalent atoms, fractional coordinates:
Pr (0.0000, 0.2477, 0.0000) (multiplicity 4)
Pr (0.1144, 0.5000, 0.7996) (multiplicity 4)
Pr (0.2011, 0.1282, 0.5885) (multiplicity 8)
Sb (0.0000, 0.0000, 0.0000) (multiplicity 2)
Ir (0.0000, 0.3057, 0.5000) (multiplicity 4)

Values from the calculation:
As for the volume: 688 Å³/cell. The total energy is -5.86 eV/atom. As for the uncorrected formation energy: -0.40 eV/atom.

---

[19]
The following is a DFT calculation (GGA-PBE) of BaMgAl2 after structural relaxation.

Unit cell a=3.7019 b=3.7019 c=7.7958 alpha=90.00 beta=90.00 gamma=90.00
Space group P4/mmm (No. 123)
Inequivalent atoms, fractional coordinates:
Ba (0.0000, 0.0000, 0.0000) (multiplicity 1)
Mg (0.0000, 0.0000, 0.5000) (multiplicity 1)
Al (0.5000, 0.5000, 0.3176) (multiplicity 2)

Values from the calculation:
The calculation puts the formation enthalpy at 0 K at -14 kJ/mol of formula units. As for the volume: 107 Å³/cell. The total energy is -2.79 eV/atom.

---

[20]
The following is a DFT calculation (GGA-PBE) of Th4GaPSe2 after structural relaxation.

Unit cell a=7.3048 b=4.2446 c=7.3527 alpha=90.00 beta=109.66 gamma=90.00
Space group P2/m (No. 10)
Inequivalent atoms, fractional coordinates:
Th (0.2373, 0.0000, 0.2316) (multiplicity 2)
Th (0.2477, 0.5000, 0.7630) (multiplicity 2)
Ga (0.5000, 0.0000, 0.0000) (multiplicity 1)
P (0.0000, 0.5000, 0.0000) (multiplicity 1)
Se (0.0000, 0.0000, 0.5000) (multiplicity 1)
Se (0.5000, 0.5000, 0.5000) (multiplicity 1)

Values from the calculation:
As for the volume: 215 Å³/cell. The total energy is -6.92 eV/atom. As for the uncorrected formation energy: -1.28 eV/atom.